VASP calculation (GGA-PBE) on crystalline Y2Zr4Ga3N3 at its relaxed geometry.

- E: -0.29117 Ha/atom
- Spin magnetization: 0.00 Bohr magnetons per cell

Unit cell a=10.0226 b=5.7848 c=14.5758 alpha=90.00 beta=103.34 gamma=90.00
With the nearest neighbours (Å) after each atom.
Space group C2/c (No. 15)
One atom of each set of equivalent atoms:
Y (0.0453, 0.0814, 0.3929) (multiplicity 8)  3 N 2.45-2.47
Zr (0.1106, 0.4104, 0.5834) (multiplicity 8)  3 N 2.24-2.29
Zr (0.2254, 0.4192, 0.9167) (multiplicity 8)  3 N 2.24-2.29
Ga (0.0000, 0.4590, 0.7500) (multiplicity 4)  4 Zr 2.91-2.92, 4 Ga 2.92-2.93
Ga (0.2296, 0.1454, 0.7508) (multiplicity 8)  4 Zr 2.90-2.91, 4 Ga 2.92-2.93
N (0.0836, 0.2503, 0.0000) (multiplicity 8)  4 Zr 2.24-2.29, 2 Y 2.45
N (0.2500, 0.2500, 0.5000) (multiplicity 4)  4 Zr 2.25, 2 Y 2.47

VASP calculation (GGA-PBE) on crystalline ZrGa2N at its relaxed geometry.

- E: -0.21208 Ha/atom
- Spin magnetization: 0.00 Bohr magnetons per cell

Unit cell a=3.0536 b=3.0536 c=14.8091 alpha=90.00 beta=90.00 gamma=120.00
With the nearest neighbours (Å) after each atom.
Space group P6_3/mmc (No. 194)
One atom of each set of equivalent atoms:
Zr (0.3333, 0.6667, 0.2500) (multiplicity 2)  6 Ga 3.01, 6 Zr 3.05
Ga (0.3333, 0.6667, 0.5849) (multiplicity 4)  3 N 2.17
N (0.0000, 0.0000, 0.0000) (multiplicity 2)  6 Ga 2.17

VASP calculation (GGA-PBE) on crystalline Zr3GaN2 at its relaxed geometry.

- E: -0.32559 Ha/atom
- Spin magnetization: 0.02 Bohr magnetons per cell

Unit cell a=3.2482 b=3.2482 c=19.4696 alpha=90.00 beta=90.00 gamma=120.00
With the nearest neighbours (Å) after each atom.
Space group P6_3/mmc (No. 194)
One atom of each set of equivalent atoms:
Zr (0.0000, 0.0000, 0.0000) (multiplicity 2)  6 N 2.30
Zr (0.3333, 0.6667, 0.1357) (multiplicity 4)  3 N 2.29
Ga (0.0000, 0.0000, 0.2500) (multiplicity 2)  6 Zr 2.91, 6 Ga 3.25
N (0.3333, 0.6667, 0.5686) (multiplicity 4)  6 Zr 2.29-2.30

VASP calculation (GGA-PBE) on crystalline Zr2Ga5N2 at its relaxed geometry.

- E: -0.20396 Ha/atom
- Spin magnetization: 1.80 Bohr magnetons per cell

Unit cell a=3.1446 b=3.1446 c=52.6809 alpha=90.00 beta=90.00 gamma=120.00
With the nearest neighbours (Å) after each atom.
Space group R3m (No. 160, hexagonal axes)
One atom of each set of equivalent atoms:
Zr (0.0000, 0.0000, 0.0000) (multiplicity 3)  6 Ga 2.88-2.91, 6 Zr 3.14
Zr (0.0000, 0.0000, 0.1830) (multiplicity 3)  4 Ga 2.95-2.99, 6 Zr 3.14
Ga (0.0000, 0.0000, 0.0937) (multiplicity 3)  3 N 1.96
Ga (0.0000, 0.0000, 0.2390) (multiplicity 3)  3 N 1.98
Ga (0.0000, 0.0000, 0.3758) (multiplicity 3)  1 N 1.95
Ga (0.0000, 0.0000, 0.4711) (multiplicity 3)  9 Ga 2.95-3.14, 3 Zr 2.99, 1 N 3.07
Ga (0.0000, 0.0000, 0.6235) (multiplicity 3)  1 N 1.92
N (0.0000, 0.0000, 0.4129) (multiplicity 3)  4 Ga 1.95-1.96
N (0.0000, 0.0000, 0.5872) (multiplicity 3)  4 Ga 1.92-1.98

VASP calculation (GGA-PBE) on crystalline Zr4GaN3 at its relaxed geometry.

- E: -0.33795 Ha/atom
- Spin magnetization: 0.00 Bohr magnetons per cell

Unit cell a=3.2560 b=3.2560 c=24.6807 alpha=90.00 beta=90.00 gamma=120.00
With the nearest neighbours (Å) after each atom.
Space group P6_3/mmc (No. 194)
One atom of each set of equivalent atoms:
Zr (0.0000, 0.0000, 0.1595) (multiplicity 4)  3 N 2.27
Zr (0.3333, 0.6667, 0.0555) (multiplicity 4)  6 N 2.28-2.33
Ga (0.3333, 0.6667, 0.2500) (multiplicity 2)  6 Zr 2.92, 6 Ga 3.26
N (0.0000, 0.0000, 0.0000) (multiplicity 2)  6 Zr 2.33
N (0.3333, 0.6667, 0.6081) (multiplicity 4)  6 Zr 2.27-2.28

VASP calculation (GGA-PBE) on crystalline Na3Nd2Ga3 at its relaxed geometry.

- E: -0.09154 Ha/atom
- Spin magnetization: 0.07 Bohr magnetons per cell

Unit cell a=4.0143 b=4.0143 c=15.6788 alpha=90.00 beta=90.00 gamma=90.00
With the nearest neighbours (Å) after each atom.
Space group P-4m2 (No. 115)
One atom of each set of equivalent atoms:
Na (0.0000, 0.0000, 0.0000) (multiplicity 1)  4 Na 2.84
Na (0.0000, 0.0000, 0.5000) (multiplicity 1)  4 Ga 2.84
Na (0.5000, 0.5000, 0.0000) (multiplicity 1)  4 Na 2.84
Nd (0.0000, 0.5000, 0.7988) (multiplicity 2)  2 Ga 3.01
Ga (0.5000, 0.5000, 0.3440) (multiplicity 2)  1 Ga 2.45
Ga (0.5000, 0.5000, 0.5000) (multiplicity 1)  2 Ga 2.45